Record 1
Below is crystalline Sr2Li2RuO6 at its relaxed geometry, with properties calculated at the PBE level.

Cell and atoms, written as CIF:
```
data_Sr2Li2RuO6
_space_group_name_H-M_alt 'P 1'
_space_group_IT_number 1
_space_group_name_Hall 'P 1'
_cell_length_a 5.938
_cell_length_b 5.938
_cell_length_c 5.938
_cell_angle_alpha 57.74
_cell_angle_beta 57.74
_cell_angle_gamma 57.74
loop_
_atom_site_label
_atom_site_type_symbol
_atom_site_fract_x
_atom_site_fract_y
_atom_site_fract_z
Sr1 Sr 0.225 0.225 0.225
Sr2 Sr 0.775 0.775 0.775
Li1 Li 0.426 0.426 0.426
Li2 Li 0.574 0.574 0.574
Ru1 Ru 0.000 0.000 0.000
O1 O 0.231 0.766 0.766
O2 O 0.234 0.234 0.769
O3 O 0.234 0.769 0.234
O4 O 0.766 0.231 0.766
O5 O 0.766 0.766 0.231
O6 O 0.769 0.234 0.234
```

Summary:
Magnetization   2.0 μB per cell

***

Record 2
Below is crystalline SrLiRu2O7 at its relaxed geometry, with properties calculated at the PBE level.

Cell and atoms, written as CIF:
```
data_SrLiRu2O7
_space_group_name_H-M_alt 'P 1'
_space_group_IT_number 1
_space_group_name_Hall 'P 1'
_cell_length_a 9.525
_cell_length_b 9.525
_cell_length_c 9.525
_cell_angle_alpha 156.60
_cell_angle_beta 156.60
_cell_angle_gamma 33.33
loop_
_atom_site_label
_atom_site_type_symbol
_atom_site_fract_x
_atom_site_fract_y
_atom_site_fract_z
Sr1 Sr 0.000 0.000 0.000
Li1 Li 0.750 0.250 0.500
Ru1 Ru 0.384 0.384 0.000
Ru2 Ru 0.616 0.616 0.000
O1 O 0.099 0.599 0.500
O2 O 0.285 0.285 0.000
O3 O 0.401 0.901 0.500
O4 O 0.500 0.500 0.000
O5 O 0.611 0.111 0.500
O6 O 0.715 0.715 0.000
O7 O 0.889 0.389 0.500
```

Summary:
Magnetization   2.0 μB per cell

***

Record 3
Below is crystalline Sr3Li2RuO6 at its relaxed geometry, with properties calculated at the PBE level.

Cell and atoms, written as CIF:
```
data_Sr3Li2RuO6
_space_group_name_H-M_alt 'P 1'
_space_group_IT_number 1
_space_group_name_Hall 'P 1'
_cell_length_a 5.736
_cell_length_b 5.736
_cell_length_c 6.294
_cell_angle_alpha 90.00
_cell_angle_beta 90.00
_cell_angle_gamma 120.00
loop_
_atom_site_label
_atom_site_type_symbol
_atom_site_fract_x
_atom_site_fract_y
_atom_site_fract_z
Sr1 Sr 0.000 0.000 0.000
Sr2 Sr 0.333 0.667 0.620
Sr3 Sr 0.667 0.333 0.380
Li1 Li 0.333 0.667 0.196
Li2 Li 0.667 0.333 0.804
Ru1 Ru 0.000 0.000 0.500
O1 O 0.164 0.328 0.309
O2 O 0.164 0.836 0.309
O3 O 0.328 0.164 0.691
O4 O 0.672 0.836 0.309
O5 O 0.836 0.164 0.691
O6 O 0.836 0.672 0.691
```

Summary:
Magnetization   2.0 μB per cell

***

Record 4
Below is crystalline Sr4LiRu3O12 at its relaxed geometry, with properties calculated at the PBE level.

Cell and atoms, written as CIF:
```
data_Sr4LiRu3O12
_space_group_name_H-M_alt 'P 1'
_space_group_IT_number 1
_space_group_name_Hall 'P 1'
_cell_length_a 5.578
_cell_length_b 5.626
_cell_length_c 7.996
_cell_angle_alpha 90.02
_cell_angle_beta 90.59
_cell_angle_gamma 90.17
loop_
_atom_site_label
_atom_site_type_symbol
_atom_site_fract_x
_atom_site_fract_y
_atom_site_fract_z
Sr1 Sr 0.015 0.498 0.233
Sr2 Sr 0.481 0.005 0.767
Sr3 Sr 0.519 0.995 0.233
Sr4 Sr 0.985 0.502 0.767
Li1 Li 0.000 0.000 0.000
Ru1 Ru 0.000 0.000 0.500
Ru2 Ru 0.500 0.500 0.000
Ru3 Ru 0.500 0.500 0.500
O1 O 0.005 0.952 0.735
O2 O 0.209 0.296 0.533
O3 O 0.248 0.269 0.975
O4 O 0.267 0.749 0.021
O5 O 0.296 0.791 0.469
O6 O 0.489 0.438 0.254
O7 O 0.511 0.562 0.746
O8 O 0.704 0.209 0.531
O9 O 0.733 0.251 0.979
O10 O 0.752 0.731 0.025
O11 O 0.791 0.704 0.467
O12 O 0.995 0.048 0.265
```

Summary:
Distance to the lowest polymorph of the same formula   0.00 eV/f.u.
Magnetization   7.1 μB per cell

***

Record 5
Below is crystalline LiTaRuO6 at its relaxed geometry, with properties calculated at the PBE level.

Cell and atoms, written as CIF:
```
data_LiTaRuO6
_space_group_name_H-M_alt 'P 1'
_space_group_IT_number 1
_space_group_name_Hall 'P 1'
_cell_length_a 4.770
_cell_length_b 4.770
_cell_length_c 9.025
_cell_angle_alpha 90.00
_cell_angle_beta 90.00
_cell_angle_gamma 90.00
loop_
_atom_site_label
_atom_site_type_symbol
_atom_site_fract_x
_atom_site_fract_y
_atom_site_fract_z
Li1 Li 0.000 0.000 0.000
Li2 Li 0.500 0.500 0.500
Ta1 Ta 0.000 0.000 0.668
Ta2 Ta 0.500 0.500 0.168
Ru1 Ru 0.000 0.000 0.328
Ru2 Ru 0.500 0.500 0.828
O1 O 0.186 0.186 0.491
O2 O 0.206 0.206 0.180
O3 O 0.214 0.214 0.817
O4 O 0.286 0.714 0.317
O5 O 0.294 0.706 0.680
O6 O 0.314 0.686 0.991
O7 O 0.686 0.314 0.991
O8 O 0.706 0.294 0.680
O9 O 0.714 0.286 0.317
O10 O 0.786 0.786 0.817
O11 O 0.794 0.794 0.180
O12 O 0.814 0.814 0.491
```

Summary:
Magnetization   3.8 μB per cell

***

Record 6
Below is crystalline LiTb2RuO6 at its relaxed geometry, with properties calculated at the PBE level.

Cell and atoms, written as CIF:
```
data_LiTb2RuO6
_space_group_name_H-M_alt 'P 1'
_space_group_IT_number 1
_space_group_name_Hall 'P 1'
_cell_length_a 5.320
_cell_length_b 5.753
_cell_length_c 9.235
_cell_angle_alpha 90.00
_cell_angle_beta 124.28
_cell_angle_gamma 90.00
loop_
_atom_site_label
_atom_site_type_symbol
_atom_site_fract_x
_atom_site_fract_y
_atom_site_fract_z
Li1 Li 0.000 0.000 0.000
Li2 Li 0.000 0.500 0.500
Tb1 Tb 0.226 0.079 0.748
Tb2 Tb 0.226 0.421 0.248
Tb3 Tb 0.774 0.579 0.752
Tb4 Tb 0.774 0.921 0.252
Ru1 Ru 0.500 0.000 0.500
Ru2 Ru 0.500 0.500 0.000
O1 O 0.141 0.181 0.445
O2 O 0.141 0.319 0.945
O3 O 0.263 0.706 0.437
O4 O 0.263 0.794 0.937
O5 O 0.374 0.043 0.256
O6 O 0.374 0.457 0.756
O7 O 0.626 0.543 0.244
O8 O 0.626 0.957 0.744
O9 O 0.737 0.206 0.063
O10 O 0.737 0.294 0.563
O11 O 0.859 0.681 0.055
O12 O 0.859 0.819 0.555
```

Summary:
Magnetization   6.0 μB per cell

***

Record 7
Below is crystalline LiTcRu2O6 at its relaxed geometry, with properties calculated at the PBE level.

Cell and atoms, written as CIF:
```
data_LiTcRu2O6
_space_group_name_H-M_alt 'P 1'
_space_group_IT_number 1
_space_group_name_Hall 'P 1'
_cell_length_a 4.717
_cell_length_b 5.031
_cell_length_c 5.591
_cell_angle_alpha 65.15
_cell_angle_beta 65.06
_cell_angle_gamma 62.66
loop_
_atom_site_label
_atom_site_type_symbol
_atom_site_fract_x
_atom_site_fract_y
_atom_site_fract_z
Li1 Li 0.000 0.000 0.000
Tc1 Tc 0.481 0.513 0.547
Ru1 Ru 0.322 0.305 0.082
Ru2 Ru 0.826 0.789 0.574
O1 O 0.081 0.391 0.814
O2 O 0.241 0.910 0.310
O3 O 0.391 0.727 0.821
O4 O 0.568 0.213 0.344
O5 O 0.723 0.100 0.776
O6 O 0.914 0.568 0.297
```

Summary:
Magnetization   0.0 μB per cell

***

Record 8
Below is crystalline LiTeRuO6 at its relaxed geometry, with properties calculated at the PBE level.

Cell and atoms, written as CIF:
```
data_LiTeRuO6
_space_group_name_H-M_alt 'P 1'
_space_group_IT_number 1
_space_group_name_Hall 'P 1'
_cell_length_a 4.637
_cell_length_b 4.637
_cell_length_c 9.199
_cell_angle_alpha 90.00
_cell_angle_beta 90.00
_cell_angle_gamma 90.00
loop_
_atom_site_label
_atom_site_type_symbol
_atom_site_fract_x
_atom_site_fract_y
_atom_site_fract_z
Li1 Li 0.000 0.000 0.000
Li2 Li 0.500 0.500 0.500
Te1 Te 0.000 0.000 0.334
Te2 Te 0.500 0.500 0.834
Ru1 Ru 0.000 0.000 0.668
Ru2 Ru 0.500 0.500 0.168
O1 O 0.191 0.191 0.507
O2 O 0.201 0.201 0.833
O3 O 0.204 0.204 0.174
O4 O 0.296 0.704 0.674
O5 O 0.299 0.701 0.333
O6 O 0.309 0.691 0.007
O7 O 0.691 0.309 0.007
O8 O 0.701 0.299 0.333
O9 O 0.704 0.296 0.674
O10 O 0.796 0.796 0.174
O11 O 0.799 0.799 0.833
O12 O 0.809 0.809 0.507
```

Summary:
Magnetization   2.6 μB per cell

***

Record 9
Below is crystalline Li2TeRuO at its relaxed geometry, with properties calculated at the PBE level.

Cell and atoms, written as CIF:
```
data_Li2TeRuO
_space_group_name_H-M_alt 'P 1'
_space_group_IT_number 1
_space_group_name_Hall 'P 1'
_cell_length_a 5.178
_cell_length_b 5.178
_cell_length_c 3.638
_cell_angle_alpha 90.00
_cell_angle_beta 90.00
_cell_angle_gamma 90.00
loop_
_atom_site_label
_atom_site_type_symbol
_atom_site_fract_x
_atom_site_fract_y
_atom_site_fract_z
Li1 Li 0.000 0.500 0.000
Li2 Li 0.500 0.000 0.000
Te1 Te 0.000 0.000 0.500
Ru1 Ru 0.500 0.500 0.000
O1 O 0.500 0.500 0.500
```

Summary:
Magnetization   0.3 μB per cell

***

Record 10
Below is crystalline LiTl2RuO4 at its relaxed geometry, with properties calculated at the PBE level.

Cell and atoms, written as CIF:
```
data_LiTl2RuO4
_space_group_name_H-M_alt 'P 1'
_space_group_IT_number 1
_space_group_name_Hall 'P 1'
_cell_length_a 11.534
_cell_length_b 10.236
_cell_length_c 6.482
_cell_angle_alpha 84.05
_cell_angle_beta 61.97
_cell_angle_gamma 33.98
loop_
_atom_site_label
_atom_site_type_symbol
_atom_site_fract_x
_atom_site_fract_y
_atom_site_fract_z
Li1 Li 0.125 0.125 0.125
Li2 Li 0.875 0.875 0.875
Tl1 Tl 0.053 0.053 0.697
Tl2 Tl 0.303 0.303 0.947
Tl3 Tl 0.697 0.697 0.053
Tl4 Tl 0.947 0.947 0.303
Ru1 Ru 0.375 0.375 0.375
Ru2 Ru 0.625 0.625 0.625
O1 O 0.007 0.669 0.545
O2 O 0.279 0.545 0.669
O3 O 0.331 0.993 0.721
O4 O 0.455 0.721 0.993
O5 O 0.545 0.279 0.007
O6 O 0.669 0.007 0.279
O7 O 0.721 0.455 0.331
O8 O 0.993 0.331 0.455
```

Summary:
Magnetization   2.0 μB per cell

***

| no. | formation energy without anion corrections (eV/atom) |
| --- | --- |
| 1 | -1.829 |
| 2 | -1.335 |
| 3 | -1.996 |
| 4 | -1.841 |
| 5 | -1.741 |
| 6 | -2.445 |
| 7 | -1.197 |
| 8 | -1.080 |
| 9 | -0.270 |
| 10 | -0.855 |